# Tb12Zn6Rh

A geometry-optimized Tb12Zn6Rh structure (PBE-GGA, Alexandria).

ρ, Mg/m³: 7.74
Uncorrected energy, eV per atom: -3.869
Space-group type: No. 148
Energy of formation, eV/atom: -0.16

a = 8.033 Å, b = 8.033 Å, c = 8.033 Å
α = 93.40°, β = 93.40°, γ = 93.40°
Element x y z (fractional)
Tb1 0.801 0.568 0.452
Tb2 0.452 0.801 0.568
Tb3 0.568 0.452 0.801
Tb4 0.199 0.432 0.548
Tb5 0.548 0.199 0.432
Tb6 0.432 0.548 0.199
Tb7 0.965 0.099 0.321
Tb8 0.901 0.679 0.035
Tb9 0.679 0.035 0.901
Tb10 0.035 0.901 0.679
Tb11 0.099 0.321 0.965
Tb12 0.321 0.965 0.099
Zn1 0.656 0.860 0.264
Zn2 0.736 0.344 0.140
Zn3 0.140 0.736 0.344
Zn4 0.344 0.140 0.736
Zn5 0.264 0.656 0.860
Zn6 0.860 0.264 0.656
Rh1 0.000 0.000 0.000